The following is a DFT calculation (PBE+U) of ReMoN2O after structural relaxation.

crystal system	tetragonal
total magnetic moment	0.94	μB per atom
raw total energy	-7.152	eV per atom

Cell: 4.0517 4.0517 3.8242 Å, 90.00 90.00 90.00°
Last column: nearest neighbours and their distance in Å.
Fractional positions:
Re: 0.0000 0.0000 0.0000  8 N 2.79, 4 O 2.86
Mo: 0.5000 0.5000 0.5000  2 O 1.91, 4 N 2.03
N: 0.0000 0.5000 0.5000  2 Mo 2.03
N: 0.5000 0.0000 0.5000  2 Mo 2.03
O: 0.5000 0.5000 0.0000  2 Mo 1.91